Material: CaCd2In6
Method: DFT, PBE
State: optimized geometry

Values from the calculation:
The density of states at the Fermi level comes out at 6.3 states/eV/cell. The value obtained for the relative energy among the computed polymorphs is 0 meV per atom. Its magnetization is 0.000 μB/atom. The calculation puts the total energy at -2.334 eV/atom. As for the energy relative to the elements: -0.082 eV/atom. For the volume, the calculation gives 477 Å³/cell.

Cell: 14.653 10.057 3.306 Å, 90.00 101.81 90.00°
Space group C2/m (No. 12)
One atom of each set of equivalent atoms:
Ca1 0.000 0.000 0.000 [2 per cell]
Cd1 0.127 0.500 0.116 [4 per cell]
In1 0.000 0.304 0.500 [4 per cell]
In2 0.187 0.155 0.686 [8 per cell]

Material: CaCd10In
Method: DFT, PBE
State: optimized geometry

Values from the calculation:
The density of states at the Fermi level comes out at 4.1 states/eV/cell. Its magnetization is 0.000 μB/atom. The calculation puts the total energy at -1.198 eV/atom. As for the energy relative to the elements: -0.040 eV/atom. For the volume, the calculation gives 302 Å³/cell.

Cell: 4.946 6.013 10.170 Å, 90.00 90.00 90.00°
Space group Pmmm (No. 47)
One atom of each set of equivalent atoms:
Ca1 0.000 0.000 0.000 [1 per cell]
Cd1 0.000 0.000 0.338 [2 per cell]
Cd2 0.000 0.500 0.175 [2 per cell]
Cd3 0.500 0.000 0.500 [1 per cell]
Cd4 0.500 0.243 0.241 [4 per cell]
Cd5 0.500 0.500 0.000 [1 per cell]
In1 0.000 0.500 0.500 [1 per cell]

Material: CaCd5In2
Method: DFT, PBE
State: optimized geometry

Values from the calculation:
The density of states at the Fermi level comes out at 3.7 states/eV/cell. Its magnetization is 0.000 μB/atom. The calculation puts the total energy at -1.622 eV/atom. As for the energy relative to the elements: -0.115 eV/atom. For the volume, the calculation gives 409 Å³/cell.

Cell: 4.188 8.562 11.404 Å, 90.00 90.00 90.00°
Space group Immm (No. 71)
One atom of each set of equivalent atoms:
Ca1 0.000 0.000 0.000 [2 per cell]
Cd1 0.000 0.197 0.370 [8 per cell]
Cd2 0.000 0.500 0.000 [2 per cell]
In1 0.000 0.500 0.263 [4 per cell]